(1)
The following is a DFT calculation (PBE-GGA) of MgGa9Rh2 after structural relaxation. Values from VASP.

The energy of formation from the pure elements comes out at -241 meV/atom. The calculation puts the electronic total energy at -3.869 eV per atom. The value obtained for the density of states at the Fermi level is 8.15 states/eV/cell.

```
&SYSTEM
  ibrav = 0, nat = 24, ntyp = 3
/
ATOMIC_SPECIES
Mg 24.30 Mg.upf
Ga 69.72 Ga.upf
Rh 102.91 Rh.upf
ATOMIC_POSITIONS crystal
Mg 0.3750 0.6250 0.7500
Mg 0.6250 0.3750 0.2500
Ga 0.1032 0.5473 0.3165
Ga 0.1032 0.7867 0.5559
Ga 0.1250 0.8750 0.2500
Ga 0.2133 0.2692 0.3165
Ga 0.2133 0.8968 0.9441
Ga 0.2692 0.2133 0.8165
Ga 0.2692 0.4527 0.0559
Ga 0.4527 0.2692 0.5559
Ga 0.4527 0.8968 0.1835
Ga 0.5473 0.1032 0.8165
Ga 0.5473 0.7308 0.4441
Ga 0.7308 0.5473 0.9441
Ga 0.7308 0.7867 0.1835
Ga 0.7867 0.1032 0.0559
Ga 0.7867 0.7308 0.6835
Ga 0.8750 0.1250 0.7500
Ga 0.8968 0.2133 0.4441
Ga 0.8968 0.4527 0.6835
Rh 0.0000 0.0000 0.0000
Rh 0.0000 0.0000 0.5000
Rh 0.0000 0.5000 0.0000
Rh 0.5000 0.0000 0.5000
CELL_PARAMETERS angstrom
-5.6332 5.6332 3.2631
5.6332 -5.6332 3.2631
5.6332 5.6332 -3.2631
```

=====

(2)
The following is a DFT calculation (PBE-GGA) of Mg6GaRh after structural relaxation. Values from VASP.

The energy of formation from the pure elements comes out at -13 meV/atom. The calculation puts the electronic total energy at -2.506 eV per atom. The value obtained for the density of states at the Fermi level is 3.09 states/eV/cell.

```
&SYSTEM
  ibrav = 0, nat = 8, ntyp = 3
/
ATOMIC_SPECIES
Mg 24.30 Mg.upf
Ga 69.72 Ga.upf
Rh 102.91 Rh.upf
ATOMIC_POSITIONS crystal
Mg 0.0361 0.4407 0.2451
Mg 0.2431 0.2431 0.7569
Mg 0.4407 0.0361 0.2451
Mg 0.5593 0.9639 0.7549
Mg 0.7569 0.7569 0.2431
Mg 0.9639 0.5593 0.7549
Ga 0.5000 0.5000 0.5000
Rh 0.0000 0.0000 0.0000
CELL_PARAMETERS angstrom
3.0397 -5.3774 0.0000
3.0397 5.3774 0.0000
-2.8084 0.0000 5.3156
```

=====

(3)
The following is a DFT calculation (PBE-GGA) of MgGa4Rh2 after structural relaxation. Values from VASP.

The polymorph energy (0 for the lowest one) comes out at 0.8150 eV per atom. The energy of formation from the pure elements comes out at 332 meV/atom. The calculation puts the electronic total energy at -3.726 eV per atom. The value obtained for the density of states at the Fermi level is 3.09 states/eV/cell.

```
&SYSTEM
  ibrav = 0, nat = 7, ntyp = 3
/
ATOMIC_SPECIES
Mg 24.30 Mg.upf
Ga 69.72 Ga.upf
Rh 102.91 Rh.upf
ATOMIC_POSITIONS crystal
Mg 0.0000 0.0000 0.0000
Ga 0.0000 0.5000 0.5000
Ga 0.2125 0.2125 0.0000
Ga 0.5000 0.0000 0.5000
Ga 0.7875 0.7875 0.0000
Rh 0.3996 0.3996 0.0000
Rh 0.6004 0.6004 0.0000
CELL_PARAMETERS angstrom
-2.4030 2.4030 6.3936
2.4030 -2.4030 6.3936
2.4030 2.4030 -6.3936
```

=====

(4)
The following is a DFT calculation (PBE-GGA) of MgGa3Rh after structural relaxation. Values from VASP.

The polymorph energy (0 for the lowest one) comes out at 0.2340 eV per atom. The energy of formation from the pure elements comes out at -134 meV/atom. The calculation puts the electronic total energy at -3.740 eV per atom. The value obtained for the density of states at the Fermi level is 2.18 states/eV/cell.

```
&SYSTEM
  ibrav = 0, nat = 5, ntyp = 3
/
ATOMIC_SPECIES
Mg 24.30 Mg.upf
Ga 69.72 Ga.upf
Rh 102.91 Rh.upf
ATOMIC_POSITIONS crystal
Mg 0.0000 0.0000 0.0000
Ga 0.0000 0.5000 0.5000
Ga 0.5000 0.0000 0.5000
Ga 0.5000 0.5000 0.0000
Rh 0.5000 0.5000 0.5000
CELL_PARAMETERS angstrom
4.8186 0.0000 0.0000
0.0000 4.8186 0.0000
0.0000 0.0000 4.8186
```

=====

Which value of energy of formation from the pure elements does entry 4 give? -134 meV/atom

=====

Look up the energy of formation from the pure elements of the fourth one. -134 meV/atom

=====

Among the records above, which one has the highest energy of formation from the pure elements? MgGa4Rh2

=====

The lowest energy of formation from the pure elements belongs to which entry? MgGa9Rh2